Compound: Zn3MoN4
Source: the Alexandria database
Functional: GGA-PBE
Structure: optimized geometry

The structure in POSCAR format:
```
Zn3MoN4
1.0
6.573 0.000 0.000
0.000 5.687 0.000
0.000 0.000 5.370
N Mo Zn
8 2 6
direct
0.500 0.328 0.078 N
0.737 0.174 0.613 N
0.263 0.174 0.613 N
0.237 0.826 0.113 N
0.763 0.826 0.113 N
0.500 0.643 0.613 N
0.000 0.357 0.113 N
0.000 0.672 0.578 N
0.500 0.330 0.729 Mo
0.000 0.670 0.229 Mo
0.749 0.832 0.731 Zn
0.000 0.334 0.730 Zn
0.251 0.832 0.731 Zn
0.751 0.168 0.231 Zn
0.249 0.168 0.231 Zn
0.500 0.666 0.230 Zn
```

Properties
- Formation energy from raw total energies: -0.184 eV/atom
- ρ: 5.8 Mg/m³
- Symmetry: No. 31